No. 1
DyTc5P3 | PBE-GGA | optimized geometry

Results
The value obtained for the formation enthalpy at 0 K is -0.44 eV per atom.

CIF file:
```
data_DyTc5P3
_chemical_formula_sum 'Dy4 Tc20 P12'
_symmetry_space_group_name_H-M 'C m c m'
_symmetry_Int_Tables_number 63
_symmetry_space_group_name_Hall '-C 2c 2'
_cell_length_a 3.9693
_cell_length_b 12.7130
_cell_length_c 11.4990
_cell_angle_alpha 90.00
_cell_angle_beta 90.00
_cell_angle_gamma 90.00
loop_
_atom_site_label
_atom_site_type_symbol
_atom_site_fract_x
_atom_site_fract_y
_atom_site_fract_z
Dy1 Dy 0.0000 0.1753 0.2500
Tc1 Tc 0.0000 0.0000 0.0000
Tc2 Tc 0.0000 0.1938 0.5634
Tc3 Tc 0.0000 0.4590 0.1465
P1 P 0.0000 0.1295 0.7500
P2 P 0.0000 0.3735 0.5516
```


No. 2
FeTc | PBE-GGA | optimized geometry

Results
The value obtained for the formation enthalpy at 0 K is 0.35 eV per atom.

CIF file:
```
data_FeTc
_chemical_formula_sum 'Fe6 Tc6'
_symmetry_space_group_name_H-M 'P 63/m m c'
_symmetry_Int_Tables_number 194
_symmetry_space_group_name_Hall '-P 6c 2c'
_cell_length_a 8.2610
_cell_length_b 8.2610
_cell_length_c 2.8184
_cell_angle_alpha 90.00
_cell_angle_beta 90.00
_cell_angle_gamma 120.00
loop_
_atom_site_label
_atom_site_type_symbol
_atom_site_fract_x
_atom_site_fract_y
_atom_site_fract_z
Fe1 Fe 0.1359 0.5680 0.2500
Tc1 Tc 0.1538 0.3076 0.7500
```


No. 3
ScNb2Sn2 | PBE-GGA | optimized geometry

Results
The value obtained for the formation enthalpy at 0 K is -0.04 eV per atom.

CIF file:
```
data_ScNb2Sn2
_chemical_formula_sum 'Sc2 Nb4 Sn4'
_symmetry_space_group_name_H-M 'P 4/m b m'
_symmetry_Int_Tables_number 127
_symmetry_space_group_name_Hall '-P 4 2ab'
_cell_length_a 8.4299
_cell_length_b 8.4299
_cell_length_c 3.0381
_cell_angle_alpha 90.00
_cell_angle_beta 90.00
_cell_angle_gamma 90.00
loop_
_atom_site_label
_atom_site_type_symbol
_atom_site_fract_x
_atom_site_fract_y
_atom_site_fract_z
Sc1 Sc 0.0000 0.0000 0.0000
Nb1 Nb 0.1128 0.3872 0.0000
Sn1 Sn 0.1818 0.6818 0.5000
```